1.
Density functional theory data (GGA-PBEsol) for a geometry-optimized Ta2BH structure.

```
data_Ta2BH
_cell_length_a 5.659
_cell_length_b 5.659
_cell_length_c 5.561
_cell_angle_alpha 90.00
_cell_angle_beta 90.00
_cell_angle_gamma 90.00
_space_group_name_H-M_alt 'I -4 2 d'
_space_group_IT_number 122
_space_group_name_Hall 'I -4 2bw'
loop_
_atom_site_label
_atom_site_type_symbol
_atom_site_fract_x
_atom_site_fract_y
_atom_site_fract_z
Ta1 Ta 0.209 0.250 0.125
B1 B 0.000 0.000 0.500
H1 H 0.000 0.000 0.000
```

Crystal system: tetragonal


2.
Density functional theory data (GGA-PBEsol) for a geometry-optimized CaBiAu structure.

```
data_CaBiAu
_cell_length_a 4.7734
_cell_length_b 4.7734
_cell_length_c 7.7073
_cell_angle_alpha 90.00
_cell_angle_beta 90.00
_cell_angle_gamma 120.00
_space_group_name_H-M_alt 'P 63 m c'
_space_group_IT_number 186
_space_group_name_Hall 'P 6c -2c'
loop_
_atom_site_label
_atom_site_type_symbol
_atom_site_fract_x
_atom_site_fract_y
_atom_site_fract_z
Ca1 Ca 0.0000 0.0000 0.0000
Bi1 Bi 0.3333 0.6667 0.2786
Au1 Au 0.3333 0.6667 0.6736
```

ΔH_f (0 K) (eV/atom): -0.700
Crystal system: hexagonal


Total DFT energy (no corrections) (computed, eV/atom): -8.96; -4.15
DOS(E_F) (computed, states/eV/cell): 8.5; 0.5